VASP calculation (PBE with a Hubbard U) on a relaxed CrRhN2F crystal.

* relative energy among the computed polymorphs: 0 meV/atom

Cell lengths 3.7913, 3.7913, 4.6289 Å; angles 90.00, 90.00, 90.00 degrees
Last column: nearest neighbours and their distance in Å.
Sites, in units of the cell vectors:
N  0.0000  0.5000  0.0000  2 Rh 1.90
N  0.5000  0.0000  0.0000  2 Rh 1.90
Rh  0.0000  0.0000  0.0000  4 N 1.90
F  0.0000  0.0000  0.5000  2 Rh 2.31
Cr  0.5000  0.5000  0.5000  4 F 2.68, 8 N 2.99